(1)
The following is a DFT calculation (SCAN) of TlSbN2F at its PBEsol-relaxed geometry.

* polymorph energy (0 for the lowest one): 0 meV/atom
* density of states at the Fermi level: 0.51 states/eV per atom

```
data_TlSbN2F
_chemical_formula_sum 'Tl1 Sb1 N2 F1'
_cell_length_a 4.091
_cell_length_b 4.091
_cell_length_c 4.334
_cell_angle_alpha 90.00
_cell_angle_beta 90.00
_cell_angle_gamma 90.00
_space_group_name_H-M_alt 'P 4/m m m'
_space_group_IT_number 123
_space_group_name_Hall '-P 4 2'
loop_
_atom_site_label
_atom_site_fract_x
_atom_site_fract_y
_atom_site_fract_z
_atom_site_occupancy
Tl1 0.000 0.000 0.000 1
Sb1 0.500 0.500 0.500 1
N1 0.000 0.500 0.500 1
F1 0.500 0.500 0.000 1
```



(2)
The following is a DFT calculation (SCAN) of ZnCd2PdPb at its PBEsol-relaxed geometry.

* E_form: 3.33 eV/f.u.
* density of states at the Fermi level: 0.30 states/eV per atom

```
data_ZnCd2PdPb
_chemical_formula_sum 'Zn1 Cd2 Pd1 Pb1'
_cell_length_a 5.494
_cell_length_b 5.494
_cell_length_c 5.090
_cell_angle_alpha 90.00
_cell_angle_beta 90.00
_cell_angle_gamma 90.00
_space_group_name_H-M_alt 'P 4/m m m'
_space_group_IT_number 123
_space_group_name_Hall '-P 4 2'
loop_
_atom_site_label
_atom_site_fract_x
_atom_site_fract_y
_atom_site_fract_z
_atom_site_occupancy
Zn1 0.000 0.000 0.000 1
Cd1 0.000 0.500 0.500 1
Pd1 0.500 0.500 0.000 1
Pb1 0.500 0.500 0.500 1
```



(3)
The following is a DFT calculation (SCAN) of AgPt2 at its PBEsol-relaxed geometry.

* polymorph energy (0 for the lowest one): 27 meV/atom
* E_form: 0.08 eV/f.u.
* density of states at the Fermi level: 1.04 states/eV per atom

```
data_AgPt2
_chemical_formula_sum 'Ag4 Pt8'
_cell_length_a 8.028
_cell_length_b 2.760
_cell_length_c 8.320
_cell_angle_alpha 90.00
_cell_angle_beta 90.46
_cell_angle_gamma 90.00
_space_group_name_H-M_alt 'P 1 21/m 1'
_space_group_IT_number 11
_space_group_name_Hall '-P 2yb'
loop_
_atom_site_label
_atom_site_fract_x
_atom_site_fract_y
_atom_site_fract_z
_atom_site_occupancy
Ag1 0.124 0.250 0.247 1
Ag2 0.130 0.250 0.917 1
Pt1 0.127 0.250 0.579 1
Pt2 0.375 0.750 0.416 1
Pt3 0.375 0.750 0.744 1
Pt4 0.383 0.750 0.086 1
```



(4)
The following is a DFT calculation (SCAN) of NdAlH6 at its PBEsol-relaxed geometry.

* density of states at the Fermi level: 0.00 states/eV per atom

```
data_NdAlH6
_chemical_formula_sum 'Nd3 Al3 H18'
_cell_length_a 6.3030
_cell_length_b 6.3030
_cell_length_c 6.1087
_cell_angle_alpha 90.00
_cell_angle_beta 90.00
_cell_angle_gamma 120.00
_space_group_name_H-M_alt 'R -3 m'
_space_group_IT_number 166
_space_group_name_Hall '-R 3 2"'
loop_
_atom_site_label
_atom_site_fract_x
_atom_site_fract_y
_atom_site_fract_z
_atom_site_occupancy
Nd1 0.0000 0.0000 0.0000 1
Al1 0.0000 0.0000 0.5000 1
H1 0.0912 0.5456 0.3480 1
```



(5)
The following is a DFT calculation (SCAN) of ZnBi4O9 at its PBEsol-relaxed geometry.

```
data_ZnBi4O9
_chemical_formula_sum 'Zn2 Bi8 O18'
_cell_length_a 8.088
_cell_length_b 5.658
_cell_length_c 11.211
_cell_angle_alpha 90.00
_cell_angle_beta 128.28
_cell_angle_gamma 90.00
_space_group_name_H-M_alt 'P 1 2/c 1'
_space_group_IT_number 13
_space_group_name_Hall '-P 2yc'
loop_
_atom_site_label
_atom_site_fract_x
_atom_site_fract_y
_atom_site_fract_z
_atom_site_occupancy
Zn1 0.000 0.210 0.250 1
Bi1 0.205 0.186 0.064 1
Bi2 0.381 0.277 0.855 1
O1 0.123 0.147 0.615 1
O2 0.173 0.381 0.208 1
O3 0.248 0.011 0.420 1
O4 0.318 0.456 0.004 1
O5 0.500 0.036 0.250 1
```



(6)
The following is a DFT calculation (SCAN) of Li4VCr3O8 at its PBEsol-relaxed geometry.

```
data_Li4VCr3O8
_chemical_formula_sum 'Li4 V1 Cr3 O8'
_cell_length_a 5.023
_cell_length_b 5.046
_cell_length_c 5.833
_cell_angle_alpha 90.04
_cell_angle_beta 106.86
_cell_angle_gamma 99.60
_space_group_name_H-M_alt 'P -1'
_space_group_IT_number 2
_space_group_name_Hall '-P 1'
loop_
_atom_site_label
_atom_site_fract_x
_atom_site_fract_y
_atom_site_fract_z
_atom_site_occupancy
Li1 0.000 0.247 0.126 1
Li2 0.003 0.750 0.377 1
V1 0.500 0.500 0.000 1
Cr1 0.500 0.000 0.250 1
Cr2 0.500 0.500 0.500 1
O1 0.273 0.125 0.943 1
O2 0.273 0.630 0.196 1
O3 0.274 0.631 0.691 1
O4 0.276 0.129 0.444 1
```



(7)
The following is a DFT calculation (SCAN) of Tl2IrOs at its PBEsol-relaxed geometry.

* polymorph energy (0 for the lowest one): 118 meV/atom
* E_form: 4.63 eV/f.u.
* density of states at the Fermi level: 0.81 states/eV per atom

```
data_Tl2IrOs
_chemical_formula_sum 'Tl4 Ir2 Os2'
_cell_length_a 4.053
_cell_length_b 4.053
_cell_length_c 8.631
_cell_angle_alpha 90.00
_cell_angle_beta 90.00
_cell_angle_gamma 90.00
_space_group_name_H-M_alt 'I -4 m 2'
_space_group_IT_number 119
_space_group_name_Hall 'I -4 -2'
loop_
_atom_site_label
_atom_site_fract_x
_atom_site_fract_y
_atom_site_fract_z
_atom_site_occupancy
Tl1 0.000 0.000 0.000 1
Tl2 0.000 0.500 0.250 1
Ir1 0.000 0.000 0.500 1
Os1 0.000 0.500 0.750 1
```



(8)
The following is a DFT calculation (SCAN) of CaZrCl2 at its PBEsol-relaxed geometry.

* polymorph energy (0 for the lowest one): 201 meV/atom
* density of states at the Fermi level: 0.59 states/eV per atom

```
data_CaZrCl2
_chemical_formula_sum 'Ca2 Zr2 Cl4'
_cell_length_a 3.708
_cell_length_b 3.708
_cell_length_c 13.124
_cell_angle_alpha 90.00
_cell_angle_beta 90.00
_cell_angle_gamma 90.00
_space_group_name_H-M_alt 'I -4 m 2'
_space_group_IT_number 119
_space_group_name_Hall 'I -4 -2'
loop_
_atom_site_label
_atom_site_fract_x
_atom_site_fract_y
_atom_site_fract_z
_atom_site_occupancy
Ca1 0.000 0.000 0.000 1
Zr1 0.000 0.500 0.750 1
Cl1 0.000 0.000 0.500 1
Cl2 0.000 0.500 0.250 1
```



(9)
The following is a DFT calculation (SCAN) of AgBrN2O at its PBEsol-relaxed geometry.

* density of states at the Fermi level: 0.59 states/eV per atom

```
data_AgBrN2O
_chemical_formula_sum 'Ag1 Br1 N2 O1'
_cell_length_a 4.137
_cell_length_b 4.137
_cell_length_c 4.088
_cell_angle_alpha 90.00
_cell_angle_beta 90.00
_cell_angle_gamma 90.00
_space_group_name_H-M_alt 'P 4/m m m'
_space_group_IT_number 123
_space_group_name_Hall '-P 4 2'
loop_
_atom_site_label
_atom_site_fract_x
_atom_site_fract_y
_atom_site_fract_z
_atom_site_occupancy
Ag1 0.000 0.000 0.000 1
Br1 0.500 0.500 0.500 1
N1 0.000 0.500 0.000 1
O1 0.000 0.000 0.500 1
```



(10)
The following is a DFT calculation (SCAN) of Eu2Ti12Cu9O36 at its PBEsol-relaxed geometry.

* density of states at the Fermi level: 0.56 states/eV per atom

```
data_Eu2Ti12Cu9O36
_chemical_formula_sum 'Eu2 Ti12 Cu9 O36'
_cell_length_a 10.4065
_cell_length_b 10.4065
_cell_length_c 6.3910
_cell_angle_alpha 90.00
_cell_angle_beta 90.00
_cell_angle_gamma 120.00
_space_group_name_H-M_alt 'P -3'
_space_group_IT_number 147
_space_group_name_Hall '-P 3'
loop_
_atom_site_label
_atom_site_fract_x
_atom_site_fract_y
_atom_site_fract_z
_atom_site_occupancy
Eu1 0.3333 0.6667 0.3286 1
Ti1 0.0000 0.0000 0.5000 1
Ti2 0.0000 0.5000 0.5000 1
Ti3 0.1586 0.3188 0.1627 1
Ti4 0.3333 0.6667 0.8378 1
Cu1 0.0000 0.5000 0.0000 1
Cu2 0.1683 0.3361 0.6612 1
O1 0.0156 0.1646 0.3303 1
O2 0.0457 0.2694 0.9091 1
O3 0.0723 0.4482 0.2464 1
O4 0.1162 0.7081 0.4137 1
O5 0.1752 0.5249 0.6480 1
O6 0.1891 0.6815 0.0126 1
```



(11)
The following is a DFT calculation (SCAN) of TiReNiHg2 at its PBEsol-relaxed geometry.

* E_form: 8.92 eV/f.u.
* density of states at the Fermi level: 0.76 states/eV per atom

```
data_TiReNiHg2
_chemical_formula_sum 'Ti1 Re1 Ni1 Hg2'
_cell_length_a 5.020
_cell_length_b 5.020
_cell_length_c 4.126
_cell_angle_alpha 90.00
_cell_angle_beta 90.00
_cell_angle_gamma 90.00
_space_group_name_H-M_alt 'P 4/m m m'
_space_group_IT_number 123
_space_group_name_Hall '-P 4 2'
loop_
_atom_site_label
_atom_site_fract_x
_atom_site_fract_y
_atom_site_fract_z
_atom_site_occupancy
Ti1 0.000 0.000 0.000 1
Re1 0.500 0.500 0.500 1
Ni1 0.000 0.000 0.500 1
Hg1 0.000 0.500 0.000 1
```



(12)
The following is a DFT calculation (SCAN) of HoB2C2 at its PBEsol-relaxed geometry.

* E_form: -2.76 eV/f.u.
* density of states at the Fermi level: 0.14 states/eV per atom

```
data_HoB2C2
_chemical_formula_sum 'Ho2 B4 C4'
_cell_length_a 5.323
_cell_length_b 5.323
_cell_length_c 3.462
_cell_angle_alpha 90.00
_cell_angle_beta 90.00
_cell_angle_gamma 90.00
_space_group_name_H-M_alt 'P 4/m b m'
_space_group_IT_number 127
_space_group_name_Hall '-P 4 2ab'
loop_
_atom_site_label
_atom_site_fract_x
_atom_site_fract_y
_atom_site_fract_z
_atom_site_occupancy
Ho1 0.000 0.000 0.000 1
B1 0.136 0.364 0.500 1
C1 0.163 0.663 0.500 1
```



(13)
The following is a DFT calculation (SCAN) of CuSNO2 at its PBEsol-relaxed geometry.

* density of states at the Fermi level: 0.34 states/eV per atom

```
data_CuSNO2
_chemical_formula_sum 'Cu1 S1 N1 O2'
_cell_length_a 3.334
_cell_length_b 3.334
_cell_length_c 4.058
_cell_angle_alpha 90.00
_cell_angle_beta 90.00
_cell_angle_gamma 90.00
_space_group_name_H-M_alt 'P 4/m m m'
_space_group_IT_number 123
_space_group_name_Hall '-P 4 2'
loop_
_atom_site_label
_atom_site_fract_x
_atom_site_fract_y
_atom_site_fract_z
_atom_site_occupancy
Cu1 0.000 0.000 0.000 1
S1 0.500 0.500 0.500 1
N1 0.500 0.500 0.000 1
O1 0.000 0.500 0.500 1
```



(14)
The following is a DFT calculation (SCAN) of HgOs2Cl at its PBEsol-relaxed geometry.

* polymorph energy (0 for the lowest one): 0 meV/atom
* density of states at the Fermi level: 0.64 states/eV per atom

```
data_HgOs2Cl
_chemical_formula_sum 'Hg2 Os4 Cl2'
_cell_length_a 2.790
_cell_length_b 4.974
_cell_length_c 9.888
_cell_angle_alpha 90.00
_cell_angle_beta 90.00
_cell_angle_gamma 90.00
_space_group_name_H-M_alt 'C m m 2'
_space_group_IT_number 35
_space_group_name_Hall 'C 2 -2'
loop_
_atom_site_label
_atom_site_fract_x
_atom_site_fract_y
_atom_site_fract_z
_atom_site_occupancy
Hg1 0.000 0.000 0.000 1
Os1 0.000 0.000 0.481 1
Os2 0.000 0.500 0.265 1
Cl1 0.000 0.500 0.686 1
```



(15)
The following is a DFT calculation (SCAN) of CoPt5 at its PBEsol-relaxed geometry.

* E_form: 1.93 eV/f.u.
* density of states at the Fermi level: 1.15 states/eV per atom

```
data_CoPt5
_chemical_formula_sum 'Co4 Pt20'
_cell_length_a 7.240
_cell_length_b 7.240
_cell_length_c 7.240
_cell_angle_alpha 90.00
_cell_angle_beta 90.00
_cell_angle_gamma 90.00
_space_group_name_H-M_alt 'F -4 3 m'
_space_group_IT_number 216
_space_group_name_Hall 'F -4 2 3'
loop_
_atom_site_label
_atom_site_fract_x
_atom_site_fract_y
_atom_site_fract_z
_atom_site_occupancy
Co1 0.000 0.000 0.000 1
Pt1 0.125 0.125 0.625 1
Pt2 0.250 0.250 0.250 1
```



(16)
The following is a DFT calculation (SCAN) of TlOsCl at its PBEsol-relaxed geometry.

* polymorph energy (0 for the lowest one): 191 meV/atom
* density of states at the Fermi level: 1.05 states/eV per atom

```
data_TlOsCl
_chemical_formula_sum 'Tl4 Os4 Cl4'
_cell_length_a 6.330
_cell_length_b 6.330
_cell_length_c 6.330
_cell_angle_alpha 90.00
_cell_angle_beta 90.00
_cell_angle_gamma 90.00
_space_group_name_H-M_alt 'F -4 3 m'
_space_group_IT_number 216
_space_group_name_Hall 'F -4 2 3'
loop_
_atom_site_label
_atom_site_fract_x
_atom_site_fract_y
_atom_site_fract_z
_atom_site_occupancy
Tl1 0.000 0.000 0.000 1
Os1 0.250 0.250 0.250 1
Cl1 0.000 0.000 0.500 1
```



(17)
The following is a DFT calculation (SCAN) of CdPtAu2 at its PBEsol-relaxed geometry.

* E_form: -0.44 eV/f.u.
* density of states at the Fermi level: 0.35 states/eV per atom

```
data_CdPtAu2
_chemical_formula_sum 'Cd2 Pt2 Au4'
_cell_length_a 5.736
_cell_length_b 7.933
_cell_length_c 2.957
_cell_angle_alpha 90.00
_cell_angle_beta 90.00
_cell_angle_gamma 90.00
_space_group_name_H-M_alt 'C m m m'
_space_group_IT_number 65
_space_group_name_Hall '-C 2 2'
loop_
_atom_site_label
_atom_site_fract_x
_atom_site_fract_y
_atom_site_fract_z
_atom_site_occupancy
Cd1 0.000 0.000 0.000 1
Pt1 0.000 0.500 0.000 1
Au1 0.250 0.250 0.500 1
```



(18)
The following is a DFT calculation (SCAN) of MgGe2As2 at its PBEsol-relaxed geometry.

* E_form: 0.87 eV/f.u.
* density of states at the Fermi level: 0.28 states/eV per atom

```
data_MgGe2As2
_chemical_formula_sum 'Mg2 Ge4 As4'
_cell_length_a 5.135
_cell_length_b 5.135
_cell_length_c 8.029
_cell_angle_alpha 90.00
_cell_angle_beta 90.00
_cell_angle_gamma 90.00
_space_group_name_H-M_alt 'I 4/m m m'
_space_group_IT_number 139
_space_group_name_Hall '-I 4 2'
loop_
_atom_site_label
_atom_site_fract_x
_atom_site_fract_y
_atom_site_fract_z
_atom_site_occupancy
Mg1 0.000 0.000 0.000 1
Ge1 0.000 0.500 0.250 1
As1 0.000 0.000 0.334 1
```



(19)
The following is a DFT calculation (SCAN) of Ta2CrP at its PBEsol-relaxed geometry.

* E_form: -0.89 eV/f.u.
* density of states at the Fermi level: 0.68 states/eV per atom

```
data_Ta2CrP
_chemical_formula_sum 'Ta2 Cr1 P1'
_cell_length_a 3.219
_cell_length_b 3.219
_cell_length_c 5.606
_cell_angle_alpha 90.00
_cell_angle_beta 90.00
_cell_angle_gamma 90.00
_space_group_name_H-M_alt 'P 4/m m m'
_space_group_IT_number 123
_space_group_name_Hall '-P 4 2'
loop_
_atom_site_label
_atom_site_fract_x
_atom_site_fract_y
_atom_site_fract_z
_atom_site_occupancy
Ta1 0.000 0.000 0.245 1
Cr1 0.500 0.500 0.500 1
P1 0.500 0.500 0.000 1
```



(20)
The following is a DFT calculation (SCAN) of Y2CoOs at its PBEsol-relaxed geometry.

* E_form: 0.26 eV/f.u.
* density of states at the Fermi level: 0.86 states/eV per atom

```
data_Y2CoOs
_chemical_formula_sum 'Y2 Co1 Os1'
_cell_length_a 3.199
_cell_length_b 3.199
_cell_length_c 7.949
_cell_angle_alpha 90.00
_cell_angle_beta 90.00
_cell_angle_gamma 90.00
_space_group_name_H-M_alt 'P 4 m m'
_space_group_IT_number 99
_space_group_name_Hall 'P 4 -2'
loop_
_atom_site_label
_atom_site_fract_x
_atom_site_fract_y
_atom_site_fract_z
_atom_site_occupancy
Y1 0.000 0.000 0.000 1
Y2 0.500 0.500 0.390 1
Co1 0.000 0.000 0.631 1
Os1 0.500 0.500 0.753 1
```



no.,calculated total energy (eV/atom)
1,-26.09
2,-35.91
3,-57.23
4,-9.40
5,-28.40
6,-10.78
7,-70.77
8,-14.99
9,-13.23
10,-13.75
11,-46.14
12,-17.36
13,-8.61
14,-54.25
15,-61.06
16,-49.49
17,-59.84
18,-16.53
19,-40.71
20,-36.15